(1)
Material: TbHg3
Method: DFT, PBE
State: relaxed

Lattice parameters (Å, degrees): 6.612 6.612 4.945 90.00 90.00 120.00
Atoms (fractional coordinates):
Tb 0.333 0.667 0.250
Tb 0.667 0.333 0.750
Hg 0.167 0.333 0.750
Hg 0.167 0.833 0.750
Hg 0.333 0.167 0.250
Hg 0.667 0.833 0.750
Hg 0.833 0.167 0.250
Hg 0.833 0.667 0.250

Summary:
electronic total energy = -0.1274 Ry/atom
ΔH_f (0 K) = -0.353 eV/atom
magnetic moment = 0.0 μB per formula unit
symmetry = P6_3/mmc, No. 194

=====

(2)
Material: LaGdEr
Method: DFT, PBE
State: relaxed

Lattice parameters (Å, degrees): 5.505 5.505 5.505 60.00 60.00 60.00
Atoms (fractional coordinates):
La 0.000 0.000 0.000
Gd 0.500 0.500 0.500
Er 0.750 0.750 0.750

Summary:
offset from the most stable computed form = 0 meV per atom
electronic total energy = -0.2961 Ry/atom
ΔH_f (0 K) = 0.684 eV/atom
magnetic moment = 0.0 μB per formula unit
symmetry = F-43m, No. 216

=====

(3)
Material: ZrOs
Method: DFT, PBE
State: relaxed

Lattice parameters (Å, degrees): 3.834 3.834 3.834 60.00 60.00 60.00
Atoms (fractional coordinates):
Zr 0.000 0.000 0.000
Os 0.500 0.500 0.500

Summary:
electronic total energy = -0.6987 Ry/atom
ΔH_f (0 K) = 0.381 eV/atom
magnetic moment = 0.1 μB per formula unit
symmetry = Fm-3m, No. 225

=====

(4)
Material: NaErNp
Method: DFT, PBE
State: relaxed

Lattice parameters (Å, degrees): 5.122 5.122 5.122 60.00 60.00 60.00
Atoms (fractional coordinates):
Na 0.000 0.000 0.000
Er 0.750 0.750 0.750
Np 0.250 0.250 0.250

Summary:
offset from the most stable computed form = 0 meV per atom
electronic total energy = -0.3552 Ry/atom
magnetic moment = 6.6 μB per formula unit
symmetry = F-43m, No. 216

=====

(5)
Material: GdErHg2
Method: DFT, PBE
State: relaxed

Lattice parameters (Å, degrees): 5.451 6.831 6.831 124.64 90.00 90.00
Atoms (fractional coordinates):
Gd 0.250 0.159 0.841
Gd 0.750 0.841 0.159
Er 0.250 0.598 0.756
Er 0.750 0.756 0.598
Hg 0.250 0.110 0.274
Hg 0.250 0.667 0.318
Hg 0.750 0.274 0.110
Hg 0.750 0.318 0.667

Summary:
offset from the most stable computed form = 180 meV per atom
electronic total energy = -0.2023 Ry/atom
ΔH_f (0 K) = -0.300 eV/atom
magnetic moment = 0.0 μB per formula unit
symmetry = Ama2, No. 40

=====

(6)
Material: DyY2Ho3As2Os
Method: DFT, PBE
State: relaxed

Lattice parameters (Å, degrees): 4.152 7.884 7.884 120.31 90.00 90.00
Atoms (fractional coordinates):
Dy 0.000 0.000 0.000
Y 0.000 0.405 0.811
Y 0.000 0.811 0.405
Ho 0.500 0.160 0.404
Ho 0.500 0.404 0.160
Ho 0.500 0.650 0.650
As 0.500 0.072 0.737
As 0.500 0.737 0.072
Os 0.000 0.404 0.404

Summary:
electronic total energy = -0.4785 Ry/atom
magnetic moment = 0.0 μB per formula unit
symmetry = Amm2, No. 38

=====

(7)
Material: SmPPbO
Method: DFT, PBE
State: relaxed

Lattice parameters (Å, degrees): 4.315 4.315 9.416 90.00 90.00 90.00
Atoms (fractional coordinates):
Sm 0.250 0.250 0.103
Sm 0.750 0.750 0.897
P 0.250 0.250 0.724
P 0.750 0.750 0.276
Pb 0.250 0.750 0.500
Pb 0.750 0.250 0.500
O 0.250 0.750 0.000
O 0.750 0.250 0.000

Summary:
offset from the most stable computed form = 38 meV per atom
electronic total energy = -0.4440 Ry/atom
magnetic moment = 0.0 μB per formula unit
symmetry = P4/nmm, No. 129

=====

(8)
Material: TmPbNO
Method: DFT, PBE
State: relaxed

Lattice parameters (Å, degrees): 4.309 4.309 8.499 90.00 90.00 90.00
Atoms (fractional coordinates):
Tm 0.250 0.750 0.000
Tm 0.750 0.250 0.000
Pb 0.250 0.250 0.376
Pb 0.750 0.750 0.624
N 0.250 0.250 0.925
N 0.750 0.750 0.075
O 0.250 0.750 0.500
O 0.750 0.250 0.500

Summary:
offset from the most stable computed form = 527 meV per atom
electronic total energy = -0.4684 Ry/atom
magnetic moment = 0.0 μB per formula unit
symmetry = P4/nmm, No. 129

=====

(9)
Material: Ho3Lu4Te2Pd2
Method: DFT, PBE
State: relaxed

Lattice parameters (Å, degrees): 9.289 9.289 9.289 155.64 67.07 118.60
Atoms (fractional coordinates):
Ho 0.000 0.000 0.000
Ho 0.617 0.262 0.355
Ho 0.907 0.262 0.645
Lu 0.283 0.415 0.869
Lu 0.308 0.625 0.682
Lu 0.546 0.415 0.131
Lu 0.943 0.625 0.318
Te 0.267 0.767 0.500
Te 0.658 0.658 0.000
Pd 0.172 0.933 0.239
Pd 0.694 0.933 0.761

Summary:
electronic total energy = -0.3867 Ry/atom
magnetic moment = 0.0 μB per formula unit
symmetry = Imm2, No. 44

=====

(10)
Material: MgTlCuIr
Method: DFT, PBE
State: relaxed

Lattice parameters (Å, degrees): 4.577 4.577 4.577 60.00 60.00 60.00
Atoms (fractional coordinates):
Mg 0.000 0.000 0.000
Tl 0.500 0.500 0.500
Cu 0.750 0.750 0.750
Ir 0.250 0.250 0.250

Summary:
offset from the most stable computed form = 0 meV per atom
electronic total energy = -0.2966 Ry/atom
magnetic moment = 0.0 μB per formula unit
symmetry = F-43m, No. 216

=====

(11)
Material: CuHgTeIr
Method: DFT, PBE
State: relaxed

Lattice parameters (Å, degrees): 4.697 4.697 4.697 60.00 60.00 60.00
Atoms (fractional coordinates):
Cu 0.000 0.000 0.000
Hg 0.750 0.750 0.750
Te 0.250 0.250 0.250
Ir 0.500 0.500 0.500

Summary:
offset from the most stable computed form = 0 meV per atom
electronic total energy = -0.2607 Ry/atom
magnetic moment = 0.0 μB per formula unit
symmetry = F-43m, No. 216

=====

(12)
Material: TmSiO3
Method: DFT, PBE
State: relaxed

Lattice parameters (Å, degrees): 5.155 5.155 5.155 60.11 60.11 60.11
Atoms (fractional coordinates):
Tm 0.250 0.250 0.250
Tm 0.750 0.750 0.750
Si 0.000 0.000 0.000
Si 0.500 0.500 0.500
O 0.230 0.750 0.270
O 0.250 0.730 0.770
O 0.270 0.230 0.750
O 0.730 0.770 0.250
O 0.750 0.270 0.230
O 0.770 0.250 0.730

Summary:
electronic total energy = -0.5355 Ry/atom
magnetic moment = 0.0 μB per formula unit
symmetry = R-3c, No. 167